[1]
A relaxed ThPaOsPd crystal, computed with GGA-PBE.

Cell and atoms, written as extended XYZ:
```
4
Lattice="-1.031 -2.025 -4.447 2.077 -4.351 -1.305 -2.805 -4.123 -0.276" Properties=species:S:1:pos:R:3 pbc="T T T"
Pa -0.879 -5.250 -3.014
Os -1.319 -7.874 -4.521
Pd -0.440 -2.625 -1.507
Th 0.000 0.000 0.000
```

Output
Its total magnetization is 0.0 μB/f.u. The value obtained for the energy of formation from the pure elements is -0.33 eV/atom. The raw total energy is -8.667 eV/atom.

[2]
A relaxed TmPaOsPd crystal, computed with GGA-PBE.

Cell and atoms, written as extended XYZ:
```
4
Lattice="4.882 0.000 0.000 2.441 4.228 0.000 2.441 1.409 3.986" Properties=species:S:1:pos:R:3 pbc="T T T"
Tm 7.322 4.228 2.989
Pa 2.441 1.409 0.996
Os 4.882 2.818 1.993
Pd 0.000 0.000 0.000
```

Output
Its total magnetization is 0.0 μB/f.u. The value obtained for the energy of formation from the pure elements is -0.45 eV/atom. The raw total energy is -8.049 eV/atom.

[3]
A relaxed PaZnOsPd crystal, computed with GGA-PBE.

Cell and atoms, written as extended XYZ:
```
4
Lattice="-3.373 0.866 -3.129 -1.894 -3.521 -2.435 -4.400 -1.345 0.867" Properties=species:S:1:pos:R:3 pbc="T T T"
Zn -7.250 -3.001 -3.523
Pa -2.417 -1.000 -1.174
Os 0.000 0.000 0.000
Pd -4.833 -2.000 -2.349
```

Output
Its total magnetization is 0.0 μB/f.u. The value obtained for the energy of formation from the pure elements is -0.25 eV/atom. The raw total energy is -7.048 eV/atom.